The following is a DFT calculation (PBE-GGA) of crystalline Na2SnPbF8 at its relaxed geometry.

Results
Energy = -4.6697 eV/atom
ΔE_f (raw) = -2560 meV per atom

Geometry as CIF:
```
data_Na2SnPbF8
_chemical_formula_sum 'Na2 Sn1 Pb1 F8'
_symmetry_space_group_name_H-M 'P 1 2/m 1'
_symmetry_Int_Tables_number 10
_cell_length_a 4.496
_cell_length_b 7.571
_cell_length_c 5.506
_cell_angle_alpha 90.00
_cell_angle_beta 91.67
_cell_angle_gamma 90.00
loop_
_symmetry_equiv_pos_as_xyz
'x,y,z'
'-x,-y,-z'
'-x,y,-z'
'x,-y,z'
loop_
_atom_site_label
_atom_site_fract_x
_atom_site_fract_y
_atom_site_fract_z
Na1 0.000 0.246 0.000
Sn1 0.500 0.500 0.500
Pb1 0.500 0.000 0.500
F1 0.062 0.000 0.245
F2 0.145 0.500 0.274
F3 0.365 0.299 0.714
```